Crystalline LiTlRe at its relaxed geometry. Source: the Alexandria database, functional PBE.

Summary:
DFT total energy in eV per atom: -4.328
Energy of formation in eV/atom: 1.25

Geometry as POSCAR:
```
LiTlRe
1.0
6.3875 0.0000 0.0000
0.0000 6.3875 0.0000
0.0000 0.0000 6.3875
Li Tl Re
4 4 4
Direct
0.0000 0.0000 0.0000 Li
0.0000 0.5000 0.5000 Li
0.5000 0.0000 0.5000 Li
0.5000 0.5000 0.0000 Li
0.2500 0.2500 0.2500 Tl
0.2500 0.7500 0.7500 Tl
0.7500 0.2500 0.7500 Tl
0.7500 0.7500 0.2500 Tl
0.0000 0.0000 0.5000 Re
0.0000 0.5000 0.0000 Re
0.5000 0.0000 0.0000 Re
0.5000 0.5000 0.5000 Re
```

Crystalline K3Nd2TmO6 at its relaxed geometry. Source: the Alexandria database, functional PBE.

Summary:
DFT total energy in eV per atom: -6.591
Formation energy (no corrections) in kcal/mol of atoms: -61.58

Geometry as POSCAR:
```
K3Nd2TmO6
1.0
3.0928 -5.3584 0.0000
3.0928 5.3584 0.0000
-2.0595 0.0000 6.2886
K Nd Tm O
3 2 1 6
Direct
0.0000 0.0000 0.0000 K
0.3362 0.6638 0.0000 K
0.6638 0.3362 0.0000 K
0.1667 0.8333 0.5000 Nd
0.8333 0.1667 0.5000 Nd
0.5000 0.5000 0.5000 Tm
0.1182 0.4373 0.3117 O
0.2433 0.2433 0.6876 O
0.4373 0.1182 0.3117 O
0.5627 0.8818 0.6883 O
0.7567 0.7567 0.3124 O
0.8818 0.5627 0.6883 O
```

Crystalline Mn3HIr at its relaxed geometry. Source: the Alexandria database, functional PBE.

Summary:
DFT total energy in eV per atom: -6.567

Geometry as POSCAR:
```
Mn3HIr
1.0
4.8703 0.0000 0.0000
0.0000 4.8703 0.0000
0.0000 0.0000 4.8703
Mn H Ir
3 1 1
Direct
0.0000 0.0000 0.5000 Mn
0.0000 0.5000 0.0000 Mn
0.5000 0.0000 0.0000 Mn
0.5000 0.5000 0.5000 H
0.0000 0.0000 0.0000 Ir
```

Crystalline La3CoSn at its relaxed geometry. Source: the Alexandria database, functional PBE.

Summary:
DFT total energy in eV per atom: -5.602
Energy of formation in eV/atom: -0.42

Geometry as POSCAR:
```
La3CoSn
1.0
6.1090 0.0000 0.0000
2.0838 6.5668 0.0000
0.2385 0.6426 7.0724
La Co Sn
6 2 2
Direct
0.1915 0.3326 0.2041 La
0.2605 0.8164 0.0382 La
0.2822 0.7610 0.5215 La
0.7178 0.2390 0.4785 La
0.7395 0.1836 0.9618 La
0.8085 0.6674 0.7959 La
0.4101 0.5170 0.8137 Co
0.5899 0.4830 0.1863 Co
0.2270 0.2312 0.7122 Sn
0.7730 0.7688 0.2878 Sn
```

Crystalline SrLiMo at its relaxed geometry. Source: the Alexandria database, functional PBE.

Summary:
DFT total energy in eV per atom: -4.308
Energy of formation in eV/atom: 0.50

Geometry as POSCAR:
```
SrLiMo
1.0
5.6605 0.0000 0.0000
0.0000 3.5242 0.0000
-1.9863 0.0000 7.9873
Sr Li Mo
2 2 2
Direct
0.0727 0.2500 0.2029 Sr
0.9273 0.7500 0.7971 Sr
0.3430 0.7500 0.5836 Li
0.6570 0.2500 0.4164 Li
0.4638 0.2500 0.8987 Mo
0.5362 0.7500 0.1013 Mo
```

Crystalline Er7HPb4 at its relaxed geometry. Source: the Alexandria database, functional PBE.

Summary:
DFT total energy in eV per atom: -4.439

Geometry as POSCAR:
```
Er7HPb4
1.0
8.0943 -2.5253 0.0000
8.0943 2.5253 0.0000
-6.9062 0.0000 8.4635
Er H Pb
7 1 4
Direct
0.0000 0.0000 0.0000 Er
0.1378 0.1378 0.5551 Er
0.2877 0.2877 0.1436 Er
0.4313 0.4313 0.7402 Er
0.5687 0.5687 0.2598 Er
0.7123 0.7123 0.8564 Er
0.8622 0.8622 0.4449 Er
0.5000 0.5000 0.0000 H
0.0784 0.0784 0.7885 Pb
0.2203 0.2203 0.3463 Pb
0.7797 0.7797 0.6537 Pb
0.9216 0.9216 0.2115 Pb
```

no.,ρ (g/cm3)
1,10.13
2,5.34
3,5.15
4,6.96
5,3.97
6,9.60